Entry 1:
The following is a SCAN calculation of a crystal of Eu2Ti2O5 relaxed with PBEsol, from the Alexandria database.

Space-group type: P4/mmm (123)
E above lowest polymorph: 0 meV/atom
E_form (uncorrected): -3.2000 eV per atom

Cell lengths 3.9070, 3.9070, 7.3390 Å; angles 90.00, 90.00, 90.00 degrees
With the nearest neighbours (Å) after each atom.
Fractional coordinates of all 9 atoms:
O1 0.5000 0.0000 0.7744  2 Ti 1.95
O2 0.0000 0.5000 0.2256  2 Ti 1.95
O3 0.5000 0.0000 0.2256  2 Ti 1.95
O4 0.5000 0.5000 0.5000  2 Ti 1.94
O5 0.0000 0.5000 0.7744  2 Ti 1.95
Ti1 0.5000 0.5000 0.2357  5 O 1.94-1.95
Ti2 0.5000 0.5000 0.7643  5 O 1.94-1.95
Eu1 0.0000 0.0000 0.5000  12 O 2.76-2.81
Eu2 0.0000 0.0000 0.0000  8 O 2.56

Entry 2:
The following is a SCAN calculation of a crystal of BaSrMg relaxed with PBEsol, from the Alexandria database.

Space-group type: F-43m (216)
E above lowest polymorph: 187 meV/atom
Formation energy from the elements: 0.16 eV per atom

Cell lengths 5.9496, 5.9496, 5.9496 Å; angles 60.00, 60.00, 60.00 degrees
With the nearest neighbours (Å) after each atom.
Fractional coordinates of all 3 atoms:
Ba1 0.5000 0.5000 0.5000  4 Mg 3.64
Mg1 0.2500 0.2500 0.2500  4 Sr 3.64, 4 Ba 3.64
Sr1 0.0000 0.0000 0.0000  4 Mg 3.64

Entry 3:
The following is a SCAN calculation of a crystal of Cs2InAuI6 relaxed with PBEsol, from the Alexandria database.

Space-group type: Fm-3m (225)
E_form (uncorrected): -0.8842 eV per atom

Cell lengths 8.2535, 8.2535, 8.2535 Å; angles 60.00, 60.00, 60.00 degrees
With the nearest neighbours (Å) after each atom.
Fractional coordinates of all 10 atoms:
I1 0.2535 0.7465 0.2535  1 Au 2.88, 1 In 2.96
I2 0.7465 0.2535 0.2535  1 Au 2.88, 1 In 2.96
I3 0.2535 0.7465 0.7465  1 Au 2.88, 1 In 2.96
I4 0.7465 0.7465 0.2535  1 Au 2.88, 1 In 2.96
I5 0.7465 0.2535 0.7465  1 Au 2.88, 1 In 2.96
I6 0.2535 0.2535 0.7465  1 Au 2.88, 1 In 2.96
Cs1 0.7500 0.7500 0.7500  12 I 4.13
Cs2 0.2500 0.2500 0.2500  12 I 4.13
Au1 0.5000 0.5000 0.5000  6 I 2.88
In1 0.0000 0.0000 0.0000  6 I 2.96

Entry 4:
The following is a SCAN calculation of a crystal of LiSiTe2I relaxed with PBEsol, from the Alexandria database.

Space-group type: P4/mmm (123)
E_form (uncorrected): 0.5441 eV per atom

Cell lengths 4.9868, 4.9868, 5.2323 Å; angles 90.00, 90.00, 90.00 degrees
With the nearest neighbours (Å) after each atom.
Fractional coordinates of all 5 atoms:
Si1 0.5000 0.5000 0.5000  4 I 3.53, 8 Te 3.61
Li1 0.0000 0.0000 0.0000  4 Te 2.49, 2 I 2.62
Te1 0.5000 0.0000 0.0000  2 Li 2.49
Te2 0.0000 0.5000 0.0000  2 Li 2.49
I1 0.0000 0.0000 0.5000  2 Li 2.62

Entry 5:
The following is a SCAN calculation of a crystal of ZnCu4Sn2Se8 relaxed with PBEsol, from the Alexandria database.

Space-group type: C2 (5)
E_form (uncorrected): -0.3176 eV per atom

Cell lengths 5.5273, 6.8259, 10.3805 Å; angles 76.95, 74.56, 66.12 degrees
With the nearest neighbours (Å) after each atom.
Fractional coordinates of all 15 atoms:
Se1 0.1033 0.8266 0.4466  2 Cu 2.36-2.38, 1 Zn 2.44, 1 Sn 2.62
Se2 0.6226 0.5822 0.6921  2 Cu 2.38-2.40, 1 Zn 2.44, 1 Sn 2.61
Se3 0.8969 0.4178 0.3079  2 Cu 2.38-2.40, 1 Zn 2.44, 1 Sn 2.61
Se4 0.3764 0.1734 0.5534  2 Cu 2.36-2.38, 1 Zn 2.44, 1 Sn 2.62
Se5 0.0872 0.3000 0.9551  2 Cu 2.36-2.37, 1 Sn 2.55
Se6 0.6543 0.0834 0.1675  2 Cu 2.34-2.36, 1 Sn 2.56
Se7 0.3424 0.7000 0.0449  2 Cu 2.36-2.37, 1 Sn 2.55
Se8 0.9052 0.9166 0.8325  2 Cu 2.34-2.36, 1 Sn 2.56
Cu1 0.7403 0.1250 0.3667  4 Se 2.34-2.38
Cu2 0.2627 0.3737 0.1163  4 Se 2.36-2.40
Cu3 0.2321 0.8750 0.6333  4 Se 2.34-2.38
Cu4 0.7527 0.6263 0.8837  4 Se 2.36-2.40
Zn1 0.9973 0.5000 0.5000  4 Se 2.44
Sn1 0.4997 0.7623 0.2369  4 Se 2.55-2.62
Sn2 0.4988 0.2377 0.7631  4 Se 2.55-2.62

Entry 6:
The following is a SCAN calculation of a crystal of Cd3Rh relaxed with PBEsol, from the Alexandria database.

Space-group type: Pmm2 (25)
Formation energy from the elements: -0.06 eV per atom

Cell lengths 3.0982, 4.6246, 4.9290 Å; angles 90.00, 90.00, 90.00 degrees
With the nearest neighbours (Å) after each atom.
Fractional coordinates of all 4 atoms:
Cd1 0.0000 0.0000 0.0018  10 Cd 2.82-3.10, 2 Rh 2.86
Cd2 0.5000 0.5000 0.8422  8 Cd 2.89-3.10, 4 Rh 2.91
Cd3 0.5000 0.0000 0.4811  8 Cd 2.82-3.10, 4 Rh 2.87
Rh1 0.0000 0.5000 0.3416  10 Cd 2.86-2.91, 2 Rh 3.10

Entry 7:
The following is a SCAN calculation of a crystal of InCuAsBr2 relaxed with PBEsol, from the Alexandria database.

Space-group type: P4/mmm (123)
E_form (uncorrected): 0.0339 eV per atom

Cell lengths 4.6483, 5.1469, 5.1469 Å; angles 90.00, 90.00, 90.00 degrees
With the nearest neighbours (Å) after each atom.
Fractional coordinates of all 5 atoms:
As1 0.5000 0.0000 0.0000  2 Cu 2.32
Cu1 0.0000 0.0000 0.0000  2 As 2.32, 4 Br 2.57
Br1 0.0000 0.5000 0.0000  2 Cu 2.57
Br2 0.0000 0.0000 0.5000  2 Cu 2.57
In1 0.5000 0.5000 0.5000  8 Br 3.47, 4 As 3.64

Entry 8:
The following is a SCAN calculation of a crystal of CrIrOs2 relaxed with PBEsol, from the Alexandria database.

Space-group type: P4mm (99)
E above lowest polymorph: 446 meV/atom
Formation energy from the elements: 0.40 eV per atom

Cell lengths 3.1131, 3.1131, 5.6648 Å; angles 90.00, 90.00, 90.00 degrees
With the nearest neighbours (Å) after each atom.
Fractional coordinates of all 4 atoms:
Os1 0.5000 0.5000 0.2639  1 Ir 2.56, 4 Cr 2.67, 4 Os 2.70
Os2 0.0000 0.0000 0.9893  1 Cr 2.60, 4 Ir 2.69, 4 Os 2.70
Ir1 0.5000 0.5000 0.7159  4 Cr 2.44, 5 Os 2.56-2.69
Cr1 0.0000 0.0000 0.5309  4 Ir 2.44, 5 Os 2.60-2.67

Entry 9:
The following is a SCAN calculation of a crystal of BaPRu2 relaxed with PBEsol, from the Alexandria database.

Space-group type: R3m (160)
Formation energy from the elements: -0.29 eV per atom

Cell lengths 4.1689, 4.1689, 6.1589 Å; angles 70.22, 70.22, 60.00 degrees
With the nearest neighbours (Å) after each atom.
Fractional coordinates of all 4 atoms:
P1 0.3066 0.3066 0.0802  6 Ru 2.46-2.57
Ru1 0.0038 0.0038 0.9885  3 Ru 2.44, 3 P 2.46
Ru2 0.6936 0.6936 0.9191  3 Ru 2.44, 3 P 2.57
Ba1 0.5053 0.5053 0.4842  4 Ru 3.20-3.45, 4 P 3.32-3.38

Entry 10:
The following is a SCAN calculation of a crystal of Y2HgO4 relaxed with PBEsol, from the Alexandria database.

Space-group type: Fd-3m (227)
E above lowest polymorph: 129 meV/atom
E_form (uncorrected): -2.7964 eV per atom

Cell lengths 6.7571, 6.7571, 6.7571 Å; angles 60.00, 60.00, 60.00 degrees
With the nearest neighbours (Å) after each atom.
Fractional coordinates of all 14 atoms:
Y1 0.1250 0.1250 0.6250  6 O 2.26
Y2 0.6250 0.1250 0.1250  6 O 2.26
Y3 0.1250 0.6250 0.1250  6 O 2.26
Y4 0.1250 0.1250 0.1250  6 O 2.26
O1 0.8895 0.8895 0.8895  3 Y 2.26, 1 Hg 2.31
O2 0.3605 0.3605 0.9186  3 Y 2.26, 1 Hg 2.31
O3 0.9186 0.3605 0.3605  3 Y 2.26, 1 Hg 2.31
O4 0.3605 0.3605 0.3605  3 Y 2.26, 1 Hg 2.31
O5 0.8895 0.3314 0.8895  3 Y 2.26, 1 Hg 2.31
O6 0.3605 0.9186 0.3605  3 Y 2.26, 1 Hg 2.31
O7 0.8895 0.8895 0.3314  3 Y 2.26, 1 Hg 2.31
O8 0.3314 0.8895 0.8895  3 Y 2.26, 1 Hg 2.31
Hg1 0.5000 0.5000 0.5000  4 O 2.31
Hg2 0.7500 0.7500 0.7500  4 O 2.31

Entry 11:
The following is a SCAN calculation of a crystal of NaN2OF relaxed with PBEsol, from the Alexandria database.

Space-group type: P4/mmm (123)
E_form (uncorrected): 1.5690 eV per atom

Cell lengths 3.7890, 3.7890, 4.6733 Å; angles 90.00, 90.00, 90.00 degrees
With the nearest neighbours (Å) after each atom.
Fractional coordinates of all 5 atoms:
F1 0.0000 0.0000 0.0000  4 N 1.89
O1 0.0000 0.0000 0.5000  2 F 2.34
N1 0.5000 0.0000 0.0000  2 F 1.89
N2 0.0000 0.5000 0.0000  2 F 1.89
Na1 0.5000 0.5000 0.5000  4 O 2.68

Entry 12:
The following is a SCAN calculation of a crystal of Zr2ScIn relaxed with PBEsol, from the Alexandria database.

Space-group type: P4mm (99)
Formation energy from the elements: -0.26 eV per atom

Cell lengths 3.1557, 3.1557, 8.8163 Å; angles 90.00, 90.00, 90.00 degrees
With the nearest neighbours (Å) after each atom.
Fractional coordinates of all 4 atoms:
Zr1 0.5000 0.5000 0.2536  4 In 3.12, 8 Zr 3.16-3.17
Zr2 0.0000 0.0000 0.9986  4 Sc 3.15, 8 Zr 3.16-3.17
In1 0.0000 0.0000 0.5017  4 Sc 3.10, 4 Zr 3.12, 4 In 3.16
Sc1 0.5000 0.5000 0.7460  4 In 3.10, 4 Zr 3.15, 4 Sc 3.16

| no. | DOS(E_F) (states/eV per atom) |
| --- | --- |
| 1 | 1.446 |
| 2 | 1.658 |
| 3 | 0.265 |
| 4 | 0.674 |
| 5 | 0.640 |
| 6 | 0.361 |
| 7 | 0.369 |
| 8 | 0.934 |
| 9 | 0.573 |
| 10 | 0.000 |
| 11 | 0.393 |
| 12 | 0.822 |